Mn2VZn2 after structural relaxation, computed with PBE-GGA.

The structure in POSCAR format:
```
Mn2VZn2
1.0
7.1808 0.0000 0.0000
0.0000 7.1808 0.0000
0.0000 0.0000 2.6812
Mn V Zn
4 2 4
Cartesian
0.8856 2.7048 0.0000
2.7048 6.2952 0.0000
4.4760 0.8856 0.0000
6.2952 4.4760 0.0000
0.0000 0.0000 0.0000
3.5904 3.5904 0.0000
1.2469 4.8373 1.3406
2.3435 1.2469 1.3406
4.8373 5.9339 1.3406
5.9339 2.3435 1.3406
```

Summary:
Offset from the most stable computed form   97.6 meV per atom
DOS at the Fermi energy   7.86 states/eV/cell
Formation energy   0.287 eV/atom
Space-group type   P4/mbm (127)
Crystal system   tetragonal